<1>
Material: SnPPbO2
Method: DFT, PBE-GGA
State: optimized geometry

It has space group P4/mmm (No. 123), with a = 4.081 Å, b = 4.081 Å, c = 5.312 Å, α = 90.00°, β = 90.00° and γ = 90.00°. Symmetry generates all atoms from Sn at (0.000, 0.000, 0.000), P at (0.000, 0.000, 0.500), Pb at (0.500, 0.500, 0.500) and O at (0.000, 0.500, 0.000).

=====

<2>
Material: SnPPbO2
Method: DFT, PBE-GGA
State: optimized geometry

It has space group P4/mmm (No. 123), with a = 4.218 Å, b = 4.218 Å, c = 5.446 Å, α = 90.00°, β = 90.00° and γ = 90.00°. Symmetry generates all atoms from Sn at (0.000, 0.000, 0.000), P at (0.500, 0.500, 0.000), Pb at (0.500, 0.500, 0.500) and O at (0.000, 0.500, 0.500).

=====

Least stable structure among those shown: <2>.